Entry 1:
SrNi3P4O14, optimized geometry, DFT PBEsol; uncorrected formation energy = -4111.8 kJ/mol of formula units; raw total energy = -319.17 eV/cell
1.0
7.374 0.000 0.000
0.000 7.631 0.000
-3.560 0.000 8.704
Sr Ni P O
2 6 8 28
direct
0.000 0.000 0.000
0.000 0.500 0.500
0.316 0.126 0.475
0.316 0.374 0.975
0.500 0.000 0.000
0.500 0.500 0.500
0.684 0.626 0.025
0.684 0.874 0.525
0.102 0.059 0.700
0.102 0.441 0.200
0.391 0.704 0.194
0.391 0.796 0.694
0.609 0.204 0.306
0.609 0.296 0.806
0.898 0.559 0.800
0.898 0.941 0.300
0.105 0.521 0.807
0.105 0.979 0.307
0.123 0.182 0.581
0.123 0.318 0.081
0.180 0.631 0.178
0.180 0.869 0.678
0.232 0.118 0.867
0.232 0.382 0.367
0.346 0.621 0.610
0.346 0.879 0.110
0.476 0.572 0.113
0.476 0.928 0.613
0.499 0.211 0.132
0.499 0.289 0.632
0.501 0.711 0.368
0.501 0.789 0.868
0.524 0.072 0.387
0.524 0.428 0.887
0.654 0.121 0.890
0.654 0.379 0.390
0.768 0.618 0.633
0.768 0.882 0.133
0.820 0.131 0.322
0.820 0.369 0.822
0.877 0.682 0.919
0.877 0.818 0.419
0.895 0.021 0.693
0.895 0.479 0.193



Entry 2:
ScAlTc2, optimized geometry, DFT PBEsol; raw total energy = -33.99 eV/cell; E above lowest polymorph = 0.098 eV/atom; DFT formation energy = -0.191 eV/atom
1.0
3.283 0.000 0.000
0.000 3.283 0.000
0.000 0.000 5.803
Sc Al Tc
1 1 2
direct
0.000 0.000 0.000
0.000 0.000 0.500
0.500 0.500 0.291
0.500 0.500 0.709



Entry 3:
CeLuMg2, optimized geometry, DFT PBEsol; raw total energy = -58.80 eV/cell; DFT formation energy = 0.050 eV/atom
1.0
7.442 0.000 0.000
0.000 7.442 0.000
0.000 0.000 7.442
Ce Lu Mg
4 4 8
direct
0.000 0.000 0.000
0.000 0.500 0.500
0.500 0.000 0.500
0.500 0.500 0.000
0.000 0.000 0.500
0.000 0.500 0.000
0.500 0.000 0.000
0.500 0.500 0.500
0.250 0.250 0.250
0.250 0.250 0.750
0.250 0.750 0.250
0.250 0.750 0.750
0.750 0.250 0.250
0.750 0.250 0.750
0.750 0.750 0.250
0.750 0.750 0.750



Entry 4:
CoHg3Mo, optimized geometry, DFT PBEsol; raw total energy = -15.26 eV/cell; DFT formation energy = 1.188 eV/atom
1.0
4.805 0.000 0.000
0.000 4.805 0.000
0.000 0.000 4.805
Co Hg Mo
1 3 1
direct
0.000 0.000 0.000
0.000 0.000 0.500
0.000 0.500 0.000
0.500 0.000 0.000
0.500 0.500 0.500



Entry 5:
Mg2TiO4, optimized geometry, DFT PBEsol; uncorrected formation energy = -1949.4 kJ/mol of formula units; raw total energy = -105.92 eV/cell; E above lowest polymorph = 0.020 eV/atom
1.0
-2.968 2.983 4.244
2.968 -2.983 4.244
2.968 2.983 -4.244
Mg Ti O
4 2 8
direct
0.000 0.000 0.500
0.000 0.500 0.000
0.386 0.136 0.250
0.614 0.864 0.750
0.000 0.500 0.500
0.500 0.500 0.000
0.212 0.727 0.486
0.248 0.273 0.525
0.248 0.723 0.975
0.259 0.273 0.986
0.741 0.727 0.014
0.752 0.277 0.025
0.752 0.727 0.475
0.788 0.273 0.514



Entry 6:
Rb2AgMoBr6, optimized geometry, DFT PBEsol; uncorrected formation energy = -897.5 kJ/mol of formula units; raw total energy = -37.65 eV/cell
1.0
0.000 5.329 5.329
5.329 0.000 5.329
5.329 5.329 0.000
Rb Ag Mo Br
2 1 1 6
direct
0.250 0.250 0.250
0.750 0.750 0.750
0.000 0.000 0.000
0.500 0.500 0.500
0.258 0.258 0.742
0.258 0.742 0.258
0.258 0.742 0.742
0.742 0.258 0.258
0.742 0.258 0.742
0.742 0.742 0.258



Entry 7:
Zn2CoPt, optimized geometry, DFT PBEsol; raw total energy = -55.28 eV/cell; DFT formation energy = -0.140 eV/atom
1.0
2.712 0.000 0.000
-1.356 2.349 0.000
0.000 0.000 24.653
Zn Co Pt
6 3 3
direct
0.000 0.000 0.245
0.000 0.000 0.755
0.333 0.667 0.422
0.333 0.667 0.912
0.667 0.333 0.088
0.667 0.333 0.578
0.000 0.000 0.500
0.333 0.667 0.167
0.667 0.333 0.833
0.000 0.000 0.000
0.333 0.667 0.667
0.667 0.333 0.333



Entry 8:
Rb3CO3F, optimized geometry, DFT PBEsol; uncorrected formation energy = -1528.0 kJ/mol of formula units; raw total energy = -92.46 eV/cell
1.0
3.900 2.252 5.619
-3.900 2.252 5.619
0.000 -4.503 5.619
Rb C O F
6 2 6 2
direct
0.174 0.750 0.326
0.250 0.674 0.826
0.326 0.174 0.750
0.674 0.826 0.250
0.750 0.326 0.174
0.826 0.250 0.674
0.250 0.250 0.250
0.750 0.750 0.750
0.083 0.417 0.250
0.250 0.083 0.417
0.417 0.250 0.083
0.583 0.750 0.917
0.750 0.917 0.583
0.917 0.583 0.750
0.000 0.000 0.000
0.500 0.500 0.500



Entry 9:
CaLaMnFe2, optimized geometry, DFT PBEsol; raw total energy = -28.70 eV/cell; DFT formation energy = 1.294 eV/atom
1.0
4.648 0.000 0.000
0.000 4.648 0.000
0.000 0.000 5.001
Ca La Mn Fe
1 1 1 2
direct
0.000 0.000 0.000
0.500 0.500 0.500
0.500 0.500 0.000
0.000 0.500 0.500
0.500 0.000 0.500



Entry 10:
Ba3B3Pb2BrO9, optimized geometry, DFT PBEsol; uncorrected formation energy = -4100.7 kJ/mol of formula units; raw total energy = -254.22 eV/cell
1.0
5.263 -7.080 0.000
5.263 7.080 0.000
0.000 0.000 8.035
Ba B Pb Br O
6 6 4 2 18
direct
0.146 0.854 0.750
0.151 0.849 0.250
0.261 0.261 0.500
0.739 0.739 0.000
0.849 0.151 0.750
0.854 0.146 0.250
0.073 0.508 0.459
0.122 0.122 0.000
0.492 0.927 0.041
0.508 0.073 0.541
0.878 0.878 0.500
0.927 0.492 0.959
0.232 0.471 0.082
0.471 0.232 0.918
0.529 0.768 0.418
0.768 0.529 0.582
0.424 0.576 0.750
0.576 0.424 0.250
0.009 0.009 0.500
0.019 0.641 0.004
0.034 0.642 0.512
0.180 0.191 0.153
0.191 0.180 0.847
0.206 0.529 0.359
0.358 0.966 0.988
0.359 0.981 0.496
0.471 0.794 0.141
0.529 0.206 0.641
0.641 0.019 0.996
0.642 0.034 0.488
0.794 0.471 0.859
0.809 0.820 0.347
0.820 0.809 0.653
0.966 0.358 0.012
0.981 0.359 0.504
0.991 0.991 0.000



Entry 11:
NaSrH2Pb, optimized geometry, DFT PBEsol; raw total energy = -11.19 eV/cell
1.0
4.532 0.000 0.000
0.000 4.532 0.000
0.000 0.000 5.913
Na Sr H Pb
1 1 2 1
direct
0.000 0.000 0.000
0.000 0.000 0.500
0.000 0.500 0.000
0.500 0.000 0.000
0.500 0.500 0.500



Entry 12:
RbBa3As, optimized geometry, DFT PBEsol; raw total energy = -14.70 eV/cell; DFT formation energy = -0.425 eV/atom
1.0
6.523 0.000 0.000
0.000 6.523 0.000
0.000 0.000 6.523
Rb Ba As
1 3 1
direct
0.000 0.000 0.000
0.000 0.500 0.500
0.500 0.000 0.500
0.500 0.500 0.000
0.500 0.500 0.500



- Among the records above, which one has the lowest raw total energy?
  SrNi3P4O14